Computed, not measured: CsRbBa2Ag after structural relaxation at the PBE level of DFT.

Cell lengths 6.7089, 6.7089, 7.5321 Å; angles 90.00, 90.00, 90.00 degrees
Closest atoms and distances in Å follow each position.
Space group P4/mmm (No. 123)
One atom of each set of equivalent atoms:
1 Cs 0.0000 0.0000 0.0000 [1 per cell]  2 Ag 3.77
2 Rb 0.5000 0.5000 0.0000 [1 per cell]  4 Cs 4.74, 8 Ba 5.04
3 Ba 0.0000 0.5000 0.5000 [2 per cell]  2 Ag 3.35
4 Ag 0.0000 0.0000 0.5000 [1 per cell]  4 Ba 3.35

Results
- energy above the most stable polymorph in this dataset (meV/atom) = 0
- calculated formation energy (eV/atom) = 0.0327

---

Computed, not measured: CsRbBa2Ag after structural relaxation at the PBE level of DFT.

Cell lengths 6.6969, 6.6969, 7.4688 Å; angles 90.00, 90.00, 90.00 degrees
Closest atoms and distances in Å follow each position.
Space group P4/mmm (No. 123)
One atom of each set of equivalent atoms:
1 Cs 0.0000 0.0000 0.0000 [1 per cell]  4 Rb 4.74, 8 Ba 5.02
2 Rb 0.5000 0.5000 0.0000 [1 per cell]  2 Ag 3.73
3 Ba 0.0000 0.5000 0.5000 [2 per cell]  2 Ag 3.35
4 Ag 0.5000 0.5000 0.5000 [1 per cell]  4 Ba 3.35, 2 Rb 3.73

Results
- energy above the most stable polymorph in this dataset (meV/atom) = 2
- calculated formation energy (eV/atom) = 0.0349